i:
A plane-wave DFT calculation with SCAN was carried out for a crystal of ZnPb2Cl relaxed with PBEsol.

## Properties
Size of the total moment   0.0 Bohr magnetons per cell
Theoretical density   8.69 g/cm3

Unit cell a=3.3142 b=3.3142 c=8.9662 alpha=90.00 beta=90.00 gamma=90.00
Space group P4mm (No. 99)
Asymmetric unit:
Zn (0.0000, 0.0000, 0.0000) [1 per cell]
Pb (0.0000, 0.0000, 0.4736) [1 per cell]
Pb (0.5000, 0.5000, 0.7620) [1 per cell]
Cl (0.5000, 0.5000, 0.1550) [1 per cell]

ii:
A plane-wave DFT calculation with SCAN was carried out for a crystal of ZnPb2Cl relaxed with PBEsol.

## Properties
Size of the total moment   0.0 Bohr magnetons per cell
Theoretical density   8.25 g/cm3

Unit cell a=3.4058 b=5.7604 c=5.5449 alpha=90.00 beta=107.66 gamma=90.00
Space group Pm (No. 6)
Asymmetric unit:
Zn (0.0000, 0.0000, 0.0000) [1 per cell]
Pb (0.2578, 0.5000, 0.4864) [1 per cell]
Pb (0.7434, 0.0000, 0.4687) [1 per cell]
Cl (0.5309, 0.5000, 0.0041) [1 per cell]

iii:
A plane-wave DFT calculation with SCAN was carried out for a crystal of ZnPb2Cl relaxed with PBEsol.

## Properties
Size of the total moment   0.0 Bohr magnetons per cell
Theoretical density   8.55 g/cm3

Unit cell a=10.2388 b=3.4838 c=5.7170 alpha=90.00 beta=101.16 gamma=90.00
Space group C2/m (No. 12)
Asymmetric unit:
Zn (0.0000, 0.0000, 0.0000) [2 per cell]
Pb (0.2232, 0.5000, 0.2444) [4 per cell]
Cl (0.0000, 0.5000, 0.5000) [2 per cell]

iv:
A plane-wave DFT calculation with SCAN was carried out for a crystal of ZnPb2Cl relaxed with PBEsol.

## Properties
Size of the total moment   0.0 Bohr magnetons per cell
Theoretical density   8.55 g/cm3

Unit cell a=3.3972 b=5.0244 c=5.8836 alpha=90.00 beta=94.45 gamma=90.00
Space group P2/m (No. 10)
Asymmetric unit:
Zn (0.0000, 0.0000, 0.0000) [1 per cell]
Pb (0.2470, 0.5000, 0.7571) [2 per cell]
Cl (0.5000, 0.0000, 0.5000) [1 per cell]

Most stable structure, least stable structure: ii, iv.

i:
A plane-wave DFT calculation with SCAN was carried out for a crystal of ZnPbCl relaxed with PBEsol.

## Properties
Size of the total moment   0.0 Bohr magnetons per cell
Theoretical density   6.01 g/cm3

Unit cell a=6.9816 b=6.9816 c=6.9816 alpha=90.00 beta=90.00 gamma=90.00
Space group F-43m (No. 216)
Asymmetric unit:
Zn (0.0000, 0.0000, 0.0000) [4 per cell]
Pb (0.2500, 0.2500, 0.2500) [4 per cell]
Cl (0.0000, 0.0000, 0.5000) [4 per cell]

ii:
A plane-wave DFT calculation with SCAN was carried out for a crystal of ZnPbCl relaxed with PBEsol.

## Properties
Size of the total moment   0.0 Bohr magnetons per cell
Theoretical density   6.97 g/cm3

Unit cell a=3.4048 b=6.0502 c=14.2430 alpha=90.00 beta=90.00 gamma=90.00
Space group Fmm2 (No. 42)
Asymmetric unit:
Zn (0.0000, 0.0000, 0.0000) [4 per cell]
Pb (0.0000, 0.0000, 0.6653) [4 per cell]
Cl (0.0000, 0.0000, 0.3855) [4 per cell]

Most stable structure, least stable structure: ii, i.

i:
A plane-wave DFT calculation with SCAN was carried out for a crystal of ZrPb2Cl relaxed with PBEsol.

## Properties
Size of the total moment   0.0 Bohr magnetons per cell
Theoretical density   9.38 g/cm3

Unit cell a=5.4865 b=5.4865 c=3.1827 alpha=90.00 beta=90.00 gamma=90.00
Space group P4/mmm (No. 123)
Asymmetric unit:
Zr (0.0000, 0.0000, 0.0000) [1 per cell]
Pb (0.0000, 0.5000, 0.5000) [2 per cell]
Cl (0.5000, 0.5000, 0.0000) [1 per cell]

ii:
A plane-wave DFT calculation with SCAN was carried out for a crystal of ZrPb2Cl relaxed with PBEsol.

## Properties
Size of the total moment   0.0 Bohr magnetons per cell
Theoretical density   9.04 g/cm3

Unit cell a=11.5591 b=3.2715 c=5.6292 alpha=90.00 beta=110.94 gamma=90.00
Space group Cm (No. 8)
Asymmetric unit:
Zr (0.0000, 0.0000, 0.0000) [2 per cell]
Pb (0.2585, 0.0000, 0.9237) [2 per cell]
Pb (0.4200, 0.0000, 0.5127) [2 per cell]
Cl (0.1347, 0.5000, 0.3320) [2 per cell]

Most stable structure, least stable structure: ii, i.

i:
A plane-wave DFT calculation with SCAN was carried out for a crystal of Sb2TePdCl relaxed with PBEsol.

## Properties
Size of the total moment   0.0 Bohr magnetons per cell
Theoretical density   6.18 g/cm3

Unit cell a=5.1901 b=5.1901 c=5.1164 alpha=90.00 beta=90.00 gamma=90.00
Space group P4/mmm (No. 123)
Asymmetric unit:
Sb (0.0000, 0.5000, 0.0000) [2 per cell]
Te (0.0000, 0.0000, 0.5000) [1 per cell]
Pd (0.5000, 0.5000, 0.5000) [1 per cell]
Cl (0.0000, 0.0000, 0.0000) [1 per cell]

ii:
A plane-wave DFT calculation with SCAN was carried out for a crystal of Sb2TePdCl relaxed with PBEsol.

## Properties
Size of the total moment   0.0 Bohr magnetons per cell
Theoretical density   6.10 g/cm3

Unit cell a=5.1971 b=5.1971 c=5.1697 alpha=90.00 beta=90.00 gamma=90.00
Space group P4/mmm (No. 123)
Asymmetric unit:
Sb (0.0000, 0.5000, 0.0000) [2 per cell]
Te (0.0000, 0.0000, 0.5000) [1 per cell]
Pd (0.0000, 0.0000, 0.0000) [1 per cell]
Cl (0.5000, 0.5000, 0.5000) [1 per cell]

Most stable structure, least stable structure: ii, i.

i:
A plane-wave DFT calculation with SCAN was carried out for a crystal of Pt2Cl relaxed with PBEsol.

## Properties
Size of the total moment   0.0 Bohr magnetons per cell
Theoretical density   14.86 g/cm3

Unit cell a=4.2072 b=4.2072 c=6.2049 alpha=90.00 beta=90.00 gamma=120.00
Space group P6_3/mmc (No. 194)
Asymmetric unit:
Pt (0.0000, 0.0000, 0.0000) [2 per cell]
Pt (0.3333, 0.6667, 0.2500) [2 per cell]
Cl (0.3333, 0.6667, 0.7500) [2 per cell]

ii:
A plane-wave DFT calculation with SCAN was carried out for a crystal of Pt2Cl relaxed with PBEsol.

## Properties
Size of the total moment   0.0 Bohr magnetons per cell
Theoretical density   14.51 g/cm3

Unit cell a=2.7957 b=2.7957 c=24.9326 alpha=90.00 beta=90.00 gamma=90.00
Space group I4_1/amd (No. 141, origin choice 2)
Asymmetric unit:
Pt (0.0000, 0.2500, 0.2935) [8 per cell]
Cl (0.0000, 0.2500, 0.8750) [4 per cell]

Most stable structure, least stable structure: ii, i.

i:
A plane-wave DFT calculation with SCAN was carried out for a crystal of RePtCl relaxed with PBEsol.

## Properties
Size of the total moment   3.8 Bohr magnetons per cell
Theoretical density   12.56 g/cm3

Unit cell a=6.0408 b=6.0408 c=6.0408 alpha=90.00 beta=90.00 gamma=90.00
Space group F-43m (No. 216)
Asymmetric unit:
Re (0.0000, 0.0000, 0.0000) [4 per cell]
Pt (0.2500, 0.2500, 0.2500) [4 per cell]
Cl (0.0000, 0.0000, 0.5000) [4 per cell]

ii:
A plane-wave DFT calculation with SCAN was carried out for a crystal of RePtCl relaxed with PBEsol.

## Properties
Size of the total moment   0.0 Bohr magnetons per cell
Theoretical density   15.54 g/cm3

Unit cell a=4.3173 b=4.3173 c=2.7588 alpha=90.00 beta=90.00 gamma=120.00
Space group P3m1 (No. 156)
Asymmetric unit:
Re (0.0000, 0.0000, 0.0000) [1 per cell]
Pt (0.6667, 0.3333, 0.4989) [1 per cell]
Cl (0.3333, 0.6667, 0.9934) [1 per cell]

Most stable structure, least stable structure: ii, i.

i:
A plane-wave DFT calculation with SCAN was carried out for a crystal of RePt2Cl relaxed with PBEsol.

## Properties
Size of the total moment   2.2 Bohr magnetons per cell
Theoretical density   15.60 g/cm3

Unit cell a=2.7159 b=4.3093 c=11.1285 alpha=90.00 beta=90.00 gamma=90.00
Space group Immm (No. 71)
Asymmetric unit:
Re (0.0000, 0.0000, 0.0000) [2 per cell]
Pt (0.0000, 0.5000, 0.2940) [4 per cell]
Cl (0.0000, 0.0000, 0.5000) [2 per cell]

ii:
A plane-wave DFT calculation with SCAN was carried out for a crystal of RePt2Cl relaxed with PBEsol.

## Properties
Size of the total moment   0.0 Bohr magnetons per cell
Theoretical density   16.40 g/cm3

Unit cell a=2.8235 b=2.8235 c=7.7729 alpha=90.00 beta=90.00 gamma=90.00
Space group P4/mmm (No. 123)
Asymmetric unit:
Re (0.0000, 0.0000, 0.0000) [1 per cell]
Pt (0.5000, 0.5000, 0.2311) [2 per cell]
Cl (0.0000, 0.0000, 0.5000) [1 per cell]

Most stable structure, least stable structure: ii, i.

i:
A plane-wave DFT calculation with SCAN was carried out for a crystal of RePt2Cl relaxed with PBEsol.

## Properties
Size of the total moment   0.0 Bohr magnetons per cell
Theoretical density   16.70 g/cm3

Unit cell a=2.8559 b=2.8559 c=25.8346 alpha=90.00 beta=90.00 gamma=120.00
Space group R-3m (No. 166, hexagonal axes)
Asymmetric unit:
Re (0.0000, 0.0000, 0.0000) [3 per cell]
Pt (0.0000, 0.0000, 0.2519) [6 per cell]
Cl (0.0000, 0.0000, 0.5000) [3 per cell]

ii:
A plane-wave DFT calculation with SCAN was carried out for a crystal of RePt2Cl relaxed with PBEsol.

## Properties
Size of the total moment   0.0 Bohr magnetons per cell
Theoretical density   16.13 g/cm3

Unit cell a=2.7873 b=2.8245 c=8.0000 alpha=90.00 beta=90.00 gamma=90.00
Space group Pmmm (No. 47)
Asymmetric unit:
Re (0.0000, 0.0000, 0.0000) [1 per cell]
Pt (0.5000, 0.5000, 0.2278) [2 per cell]
Cl (0.5000, 0.0000, 0.5000) [1 per cell]

iii:
A plane-wave DFT calculation with SCAN was carried out for a crystal of RePt2Cl relaxed with PBEsol.

## Properties
Size of the total moment   0.0 Bohr magnetons per cell
Theoretical density   13.12 g/cm3

Unit cell a=8.7487 b=2.7877 c=6.4289 alpha=90.00 beta=99.01 gamma=90.00
Space group Cm (No. 8)
Asymmetric unit:
Re (0.0000, 0.0000, 0.0000) [2 per cell]
Pt (0.0096, 0.5000, 0.6543) [2 per cell]
Pt (0.2577, 0.0000, 0.8659) [2 per cell]
Cl (0.0765, 0.5000, 0.3032) [2 per cell]

Most stable structure, least stable structure: ii, i.